ErPuSe3 | GGA-PBE | relaxed

Cell: 7.646 4.095 15.766 Å, 90.00 90.00 90.00°
Atoms (fractional coordinates):
Er1 0.233 0.250 0.042
Er2 0.267 0.750 0.542
Er3 0.733 0.250 0.458
Er4 0.767 0.750 0.958
Pu1 0.138 0.750 0.294
Pu2 0.362 0.250 0.794
Pu3 0.638 0.750 0.206
Pu4 0.862 0.250 0.706
Se1 0.009 0.750 0.106
Se2 0.122 0.250 0.434
Se3 0.149 0.750 0.719
Se4 0.351 0.250 0.219
Se5 0.378 0.750 0.934
Se6 0.491 0.250 0.606
Se7 0.509 0.750 0.394
Se8 0.622 0.250 0.066
Se9 0.649 0.750 0.781
Se10 0.851 0.250 0.281
Se11 0.878 0.750 0.566
Se12 0.991 0.250 0.894

Computed properties:
For the raw formation energy, the calculation gives -1.6532 eV/atom. The value obtained for the energy is -7.5228 eV per atom. The volume is 24.7 A^3/atom. Its symmetry is Pnma, No. 62.

ErPuSe2 | GGA-PBE | relaxed

Cell: 4.010 4.010 14.034 Å, 90.00 90.00 120.00°
Atoms (fractional coordinates):
Er1 0.000 0.000 0.000
Er2 0.000 0.000 0.500
Pu1 0.333 0.667 0.250
Pu2 0.667 0.333 0.750
Se1 0.333 0.667 0.618
Se2 0.333 0.667 0.882
Se3 0.667 0.333 0.118
Se4 0.667 0.333 0.382

Computed properties:
For the raw formation energy, the calculation gives -1.6077 eV/atom. The value obtained for the energy is -8.0737 eV per atom. The volume is 24.4 A^3/atom. Its symmetry is P6_3/mmc, No. 194.

Number 1: offset from the most stable computed form 0 meV/atom. Number 2: offset from the most stable computed form 39 meV/atom.